The following is a DFT calculation (GGA-PBE) of a relaxed structure of Zr5Zn2Sn.

Cell and atoms, written as CIF:
```
data_Zr5Zn2Sn
_symmetry_space_group_name_H-M 'I 4/m c m'
_symmetry_Int_Tables_number 140
_symmetry_space_group_name_Hall '-I 4 2c'
_cell_length_a 7.3186
_cell_length_b 7.3186
_cell_length_c 12.6110
_cell_angle_alpha 90.00
_cell_angle_beta 90.00
_cell_angle_gamma 90.00
loop_
_atom_site_label
_atom_site_type_symbol
_atom_site_fract_x
_atom_site_fract_y
_atom_site_fract_z
_atom_site_occupancy
Zr1 Zr 0.0000 0.0000 0.0000 1
Zr2 Zr 0.1565 0.3435 0.1523 1
Zn1 Zn 0.1340 0.3660 0.5000 1
Sn1 Sn 0.0000 0.0000 0.2500 1
```

Crystal system: tetragonal
VASP energy, eV per cell: -205.792

***

The following is a DFT calculation (GGA-PBE) of a relaxed structure of ZrTePt2.

Cell and atoms, written as CIF:
```
data_ZrTePt2
_symmetry_space_group_name_H-M 'I 4/m m m'
_symmetry_Int_Tables_number 139
_symmetry_space_group_name_Hall '-I 4 2'
_cell_length_a 4.1640
_cell_length_b 4.1640
_cell_length_c 8.7222
_cell_angle_alpha 90.00
_cell_angle_beta 90.00
_cell_angle_gamma 90.00
loop_
_atom_site_label
_atom_site_type_symbol
_atom_site_fract_x
_atom_site_fract_y
_atom_site_fract_z
_atom_site_occupancy
Zr1 Zr 0.0000 0.0000 0.0000 1
Te1 Te 0.0000 0.0000 0.5000 1
Pt1 Pt 0.0000 0.5000 0.2500 1
```

Crystal system: tetragonal
Formation energy from raw total energies, meV/atom: -541.0